#one
Cs2Cd2Se PBE optimized geometry; volume = 237 Å³/cell; crystal system = tetragonal
1.0
7.393 0.000 0.000
0.000 7.393 0.000
3.696 3.696 4.336
Se Cs Cd
1 2 2
direct
0.000 0.000 0.000
0.250 0.750 0.500
0.750 0.250 0.500
0.675 0.675 0.650
0.325 0.325 0.350

***

#two
Cs2Cd2Se PBE optimized geometry; volume = 405 Å³/cell; crystal system = tetragonal
1.0
-0.715 -2.685 -8.036
8.060 2.272 -1.477
1.722 -5.101 1.551
Se Cd Cs
2 4 4
direct
0.500 0.500 0.000
0.000 0.000 0.000
0.372 0.872 0.000
0.872 0.628 0.000
0.128 0.372 0.000
0.628 0.128 0.000
0.816 0.316 0.500
0.684 0.816 0.500
0.316 0.184 0.500
0.184 0.684 0.500

***

Verdict on stability: #one comes out at the bottom.

***

#one
Cs2Cd2Si PBE optimized geometry; volume = 208 Å³/cell; crystal system = tetragonal
1.0
4.174 0.000 0.000
0.000 4.174 0.000
2.087 2.087 11.936
Cs Cd Si
2 2 1
direct
0.405 0.405 0.191
0.595 0.595 0.809
0.750 0.250 0.500
0.250 0.750 0.500
0.000 0.000 0.000

***

#two
Cs2Cd2Si PBE optimized geometry; volume = 356 Å³/cell; crystal system = tetragonal
1.0
-2.975 -6.598 -2.112
2.943 0.877 -6.886
5.204 -2.938 1.850
Cs Si Cd
4 2 4
direct
0.179 0.679 0.500
0.321 0.179 0.500
0.821 0.321 0.500
0.679 0.821 0.500
0.500 0.500 0.000
0.000 0.000 0.000
0.353 0.853 0.000
0.853 0.647 0.000
0.147 0.353 0.000
0.647 0.147 0.000

***

Verdict on stability: #one comes out at the bottom.

***

#one
CsCd3Si PBE optimized geometry; volume = 367 Å³/cell; crystal system = cubic
1.0
7.163 0.000 0.000
0.000 7.163 0.000
0.000 0.000 7.163
Cd Si Cs
3 1 1
direct
0.000 0.000 0.500
0.500 0.000 0.000
0.000 0.500 0.000
0.500 0.500 0.500
0.000 0.000 0.000

***

#two
CsCd3Si PBE optimized geometry; volume = 168 Å³/cell; crystal system = cubic
1.0
-4.000 2.849 2.510
-3.520 -1.414 -4.004
-1.425 -4.506 2.844
Cd Cs Si
3 1 1
direct
0.000 0.500 0.000
0.500 0.000 0.000
0.000 0.000 0.500
0.500 0.500 0.500
0.000 0.000 0.000

***

Verdict on stability: #one comes out at the bottom.

***

#one
CsCdSi PBE optimized geometry; volume = 110 Å³/cell; crystal system = hexagonal
1.0
-2.540 0.929 -5.450
-2.570 -3.729 0.562
-1.533 4.061 1.407
Cd Si Cs
1 1 1
direct
0.167 0.333 0.667
0.166 0.000 0.000
0.667 0.667 0.333

***

#two
CsCdSi PBE optimized geometry; volume = 249 Å³/cell; crystal system = triclinic
1.0
-3.591 -1.597 -2.753
-3.870 -2.234 1.754
-10.097 9.201 1.432
Cd Si Cs
2 2 2
direct
0.817 0.151 0.622
0.894 0.162 0.820
0.151 0.484 0.624
0.212 0.489 0.795
0.567 0.969 0.418
0.496 0.698 0.021

***

#three
CsCdSi PBE optimized geometry; volume = 204 Å³/cell; crystal system = triclinic
1.0
3.895 0.011 -0.003
0.019 7.083 -1.167
1.949 1.991 7.072
Cd Si Cs
2 2 2
direct
0.629 0.908 0.024
0.791 0.720 0.684
0.442 0.712 0.393
0.978 0.917 0.316
0.089 0.431 0.100
0.330 0.197 0.608

***

Verdict on stability: #one comes out at the bottom.

***

#one
CsCdSi3 PBE optimized geometry; volume = 179 Å³/cell; crystal system = cubic
1.0
5.634 0.000 0.000
0.000 5.634 0.000
0.000 0.000 5.634
Cd Cs Si
1 1 3
direct
0.500 0.500 0.500
0.000 0.000 0.000
0.000 0.500 0.000
0.500 0.000 0.000
0.000 0.000 0.500

***

#two
CsCdSi3 PBE optimized geometry; volume = 150 Å³/cell; crystal system = cubic
1.0
-1.654 -0.335 -5.037
-3.359 -3.883 1.362
-3.767 3.609 0.997
Cs Si Cd
1 3 1
direct
0.500 0.500 0.500
0.500 0.000 0.000
0.000 0.500 0.000
0.000 0.000 0.500
0.000 0.000 0.000

***

Verdict on stability: #one comes out at the bottom.

***

#one
CsCd2Sn2 PBE optimized geometry; volume = 372 Å³/cell; crystal system = triclinic
1.0
8.131 0.011 -0.110
4.080 6.892 -0.055
3.952 0.006 6.589
Cs Sn Cd
2 4 4
direct
0.877 0.746 0.251
0.123 0.254 0.749
0.539 0.716 0.017
0.461 0.284 0.983
0.250 0.715 0.483
0.750 0.285 0.517
0.205 0.086 0.250
0.419 0.663 0.751
0.795 0.914 0.750
0.581 0.337 0.249

***

#two
CsCd2Sn2 PBE optimized geometry; volume = 163 Å³/cell; crystal system = tetragonal
1.0
5.148 0.000 0.000
0.000 5.148 0.000
2.574 2.574 6.140
Cd Cs Sn
2 1 2
direct
0.750 0.250 0.500
0.250 0.750 0.500
0.000 0.000 0.000
0.621 0.621 0.758
0.379 0.379 0.242

***

#three
CsCd2Sn2 PBE optimized geometry; volume = 310 Å³/cell; crystal system = tetragonal
1.0
-2.603 -0.614 9.190
-6.818 -6.291 -2.352
2.190 -2.542 0.450
Sn Cd Cs
4 4 2
direct
0.366 0.866 0.000
0.134 0.366 0.000
0.634 0.134 0.000
0.866 0.634 0.000
0.848 0.348 0.500
0.152 0.652 0.500
0.652 0.848 0.500
0.348 0.152 0.500
0.500 0.500 0.000
0.000 0.000 0.000

***

#four
CsCd2Sn2 PBE optimized geometry; volume = 162 Å³/cell; crystal system = tetragonal
1.0
4.950 0.000 0.000
0.000 4.950 0.000
2.475 2.475 6.611
Sn Cs Cd
2 1 2
direct
0.750 0.250 0.500
0.250 0.750 0.500
0.000 0.000 0.000
0.611 0.611 0.779
0.389 0.389 0.221

***

Verdict on stability: #three comes out at the bottom.

***

#one
CsCd2Sn4 PBE optimized geometry; volume = 442 Å³/cell; crystal system = tetragonal
1.0
-3.442 -2.659 2.514
5.744 -7.410 0.027
3.693 2.893 8.117
Sn Cs Cd
8 2 4
direct
0.000 0.651 0.921
0.500 0.151 0.579
0.500 0.421 0.849
0.500 0.579 0.151
0.000 0.921 0.651
0.000 0.349 0.079
0.500 0.849 0.421
0.000 0.079 0.349
0.500 0.000 0.000
0.000 0.500 0.500
0.000 0.221 0.779
0.500 0.721 0.721
0.500 0.279 0.279
0.000 0.779 0.221

***

#two
CsCd2Sn4 PBE optimized geometry; volume = 238 Å³/cell; crystal system = orthorhombic
1.0
4.388 0.000 -1.000
-0.243 4.555 -1.064
0.370 0.356 11.746
Sn Cd Cs
4 2 1
direct
0.897 0.397 0.794
0.688 0.688 0.377
0.312 0.312 0.623
0.103 0.603 0.206
0.183 0.183 0.367
0.817 0.817 0.633
0.500 0.000 0.000

***

Verdict on stability: #one comes out at the bottom.

***

#one
Cs2SrCd PBE optimized geometry; volume = 266 Å³/cell; crystal system = trigonal
1.0
4.578 0.000 0.000
2.289 3.964 0.000
2.289 1.321 14.658
Cs Sr Cd
2 1 1
direct
0.899 0.899 0.304
0.101 0.101 0.696
0.000 0.000 0.000
0.500 0.500 0.500

***

#two
Cs2SrCd PBE optimized geometry; volume = 599 Å³/cell; crystal system = tetragonal
1.0
-6.590 6.590 3.449
6.590 -6.590 3.449
6.590 6.590 -3.449
Cd Cs Sr
2 4 2
direct
0.250 0.750 0.500
0.000 0.000 0.000
0.260 0.375 0.385
0.625 0.010 0.885
0.125 0.740 0.115
0.990 0.875 0.615
0.750 0.250 0.500
0.500 0.500 0.000

***

Verdict on stability: #one comes out at the bottom.

***

#one
CsTa3Cd PBE optimized geometry; volume = 128 Å³/cell; crystal system = cubic
1.0
-0.113 4.080 -2.951
-4.761 0.876 1.392
1.641 2.821 3.837
Ta Cs Cd
3 1 1
direct
0.500 0.000 0.000
0.000 0.000 0.500
0.000 0.500 0.000
0.000 0.000 0.000
0.500 0.500 0.500

***

#two
CsTa3Cd PBE optimized geometry; volume = 144 Å³/cell; crystal system = cubic
1.0
5.241 0.000 0.000
0.000 5.241 0.000
0.000 0.000 5.241
Ta Cs Cd
3 1 1
direct
0.500 0.000 0.000
0.000 0.000 0.500
0.000 0.500 0.000
0.500 0.500 0.500
0.000 0.000 0.000

***

Verdict on stability: #one comes out at the bottom.

***

#one
CsCdTe PBE optimized geometry; volume = 253 Å³/cell; crystal system = triclinic
1.0
-1.749 -4.478 -0.504
4.088 1.568 -5.002
5.648 -2.826 5.875
Te Cs Cd
2 2 2
direct
0.017 0.700 0.251
0.671 0.001 0.677
0.720 0.107 0.163
0.415 0.502 0.880
0.230 0.122 0.502
0.449 0.560 0.435

***

#two
CsCdTe PBE optimized geometry; volume = 475 Å³/cell; crystal system = monoclinic
1.0
9.256 0.000 0.000
0.000 4.827 0.000
-6.875 0.000 10.623
Cs Cd Te
4 4 4
direct
0.655 0.500 0.939
0.345 0.500 0.061
0.655 0.000 0.439
0.345 0.000 0.561
0.044 0.500 0.629
0.044 0.000 0.129
0.956 0.500 0.371
0.956 0.000 0.871
0.222 0.000 0.794
0.778 0.000 0.206
0.222 0.500 0.294
0.778 0.500 0.706

***

#three
CsCdTe PBE optimized geometry; volume = 296 Å³/cell; crystal system = orthorhombic
1.0
-5.846 0.911 0.940
-0.991 -5.199 -1.121
4.507 0.037 8.904
Te Cs Cd
2 2 2
direct
0.130 0.630 0.260
0.870 0.370 0.740
0.658 0.158 0.316
0.342 0.842 0.684
0.271 0.500 0.000
0.729 0.500 0.000

***

#four
CsCdTe PBE optimized geometry; volume = 217 Å³/cell; crystal system = monoclinic
1.0
-5.181 -0.278 2.582
-7.981 -2.041 -3.072
-5.664 -6.634 1.069
Cd Cs Te
1 1 1
direct
0.439 0.360 0.140
0.271 0.696 0.475
0.938 0.361 0.140

***

Verdict on stability: #four comes out at the bottom.